[1]
First-principles (meta-GGA SCAN) data for SrSbRh at its PBEsol-relaxed geometry, as listed in the Alexandria database. Values from VASP.

Summary:
As for the raw total energy: -1.16380 Ha/atom. As for the uncorrected formation energy: -1.699 eV/f.u. The space group is No. 107.

```
&SYSTEM
  ibrav = 0, nat = 3, ntyp = 3
/
ATOMIC_SPECIES
Rh 102.91 Rh.upf
Sb 121.76 Sb.upf
Sr 87.62 Sr.upf
CELL_PARAMETERS angstrom
-1.165 0.338 3.318
-3.325 0.147 -1.183
1.843 -5.858 -0.637
ATOMIC_POSITIONS crystal
Rh 0.962 0.962 0.924
Sb 0.374 0.374 0.748
Sr 0.664 0.664 0.328
```


[2]
First-principles (meta-GGA SCAN) data for Ca2SiGeBi at its PBEsol-relaxed geometry, as listed in the Alexandria database. Values from VASP.

Summary:
As for the raw total energy: -0.92500 Ha/atom. As for the uncorrected formation energy: 1.157 eV/f.u. The space group is No. 123.

```
&SYSTEM
  ibrav = 0, nat = 5, ntyp = 4
/
ATOMIC_SPECIES
Ge 72.64 Ge.upf
Si 28.09 Si.upf
Ca 40.08 Ca.upf
Bi 208.98 Bi.upf
CELL_PARAMETERS angstrom
5.342 0.000 0.000
0.000 5.439 0.000
0.000 0.000 5.439
ATOMIC_POSITIONS crystal
Ge 0.000 0.000 0.000
Si 0.500 0.500 0.500
Ca 0.000 0.500 0.000
Ca 0.000 0.000 0.500
Bi 0.500 0.000 0.000
```


[3]
First-principles (meta-GGA SCAN) data for Pb5I2F8 at its PBEsol-relaxed geometry, as listed in the Alexandria database. Values from VASP.

Summary:
As for the raw total energy: -1.25223 Ha/atom. As for the uncorrected formation energy: -30.414 eV/f.u. The space group is No. 160.

```
&SYSTEM
  ibrav = 0, nat = 15, ntyp = 3
/
ATOMIC_SPECIES
F 19.00 F.upf
Pb 207.20 Pb.upf
I 126.90 I.upf
CELL_PARAMETERS angstrom
-1.647 -2.112 -3.312
2.561 -2.135 -2.651
-1.455 -16.775 8.683
ATOMIC_POSITIONS crystal
F 0.147 0.147 0.560
F 0.828 0.828 0.516
F 0.517 0.517 0.448
F 0.342 0.342 0.973
F 0.048 0.048 0.856
F 0.694 0.694 0.918
F 0.879 0.879 0.362
F 0.243 0.243 0.271
Pb 0.006 0.006 0.983
Pb 0.388 0.388 0.835
Pb 0.475 0.475 0.576
Pb 0.920 0.920 0.241
Pb 0.191 0.191 0.427
I 0.762 0.762 0.715
I 0.626 0.626 0.121
```


[4]
First-principles (meta-GGA SCAN) data for Te2MoRu at its PBEsol-relaxed geometry, as listed in the Alexandria database. Values from VASP.

Summary:
As for the raw total energy: -1.29432 Ha/atom. As for the uncorrected formation energy: 3.332 eV/f.u. Its energy relative to the lowest polymorph listed for this composition is 539.4 meV/atom. The space group is No. 12.

```
&SYSTEM
  ibrav = 0, nat = 4, ntyp = 3
/
ATOMIC_SPECIES
Mo 95.94 Mo.upf
Te 127.60 Te.upf
Ru 101.07 Ru.upf
CELL_PARAMETERS angstrom
-0.312 -1.566 2.642
-1.432 -3.400 -3.899
5.270 0.823 -0.604
ATOMIC_POSITIONS crystal
Mo 0.000 0.000 0.000
Te 0.000 0.500 0.000
Te 0.000 0.000 0.500
Ru 0.000 0.500 0.500
```


[5]
First-principles (meta-GGA SCAN) data for MnSbAsBr2 at its PBEsol-relaxed geometry, as listed in the Alexandria database. Values from VASP.

Summary:
As for the raw total energy: -0.84142 Ha/atom. As for the uncorrected formation energy: 0.144 eV/f.u. The space group is No. 123.

```
&SYSTEM
  ibrav = 0, nat = 5, ntyp = 4
/
ATOMIC_SPECIES
Mn 54.94 Mn.upf
Br 79.90 Br.upf
As 74.92 As.upf
Sb 121.76 Sb.upf
CELL_PARAMETERS angstrom
-0.073 -3.756 -3.006
3.720 1.862 -2.418
3.253 -2.516 3.066
ATOMIC_POSITIONS crystal
Mn 0.000 0.000 0.000
Br 0.500 0.000 0.000
Br 0.000 0.500 0.000
As 0.000 0.000 0.500
Sb 0.500 0.500 0.500
```


[6]
First-principles (meta-GGA SCAN) data for ScMn2Cr at its PBEsol-relaxed geometry, as listed in the Alexandria database. Values from VASP.

Summary:
As for the raw total energy: -0.62754 Ha/atom. Its energy relative to the lowest polymorph listed for this composition is 129.4 meV/atom. The value obtained for the formation energy is 19.94 kJ per mole of atoms. The space group is No. 71.

```
&SYSTEM
  ibrav = 0, nat = 4, ntyp = 3
/
ATOMIC_SPECIES
Mn 54.94 Mn.upf
Cr 52.00 Cr.upf
Sc 44.96 Sc.upf
CELL_PARAMETERS angstrom
-2.581 0.186 -1.304
-1.766 -2.448 3.146
1.349 4.437 1.183
ATOMIC_POSITIONS crystal
Mn 0.730 0.730 0.460
Mn 0.270 0.270 0.540
Cr 0.000 0.500 0.000
Sc 0.500 0.000 0.000
```


[7]
First-principles (meta-GGA SCAN) data for LiPdCl2 at its PBEsol-relaxed geometry, as listed in the Alexandria database. Values from VASP.

Summary:
As for the raw total energy: -0.49623 Ha/atom. As for the uncorrected formation energy: -2.892 eV/f.u. Its energy relative to the lowest polymorph listed for this composition is 0.0 meV/atom. The space group is No. 166.

```
&SYSTEM
  ibrav = 0, nat = 4, ntyp = 3
/
ATOMIC_SPECIES
Cl 35.45 Cl.upf
Li 6.94 Li.upf
Pd 106.42 Pd.upf
CELL_PARAMETERS angstrom
4.045 0.000 0.000
2.023 3.503 0.000
2.023 1.168 6.702
ATOMIC_POSITIONS crystal
Cl 0.108 0.108 0.676
Cl 0.892 0.892 0.324
Li 0.000 0.000 0.000
Pd 0.500 0.500 0.500
```


[8]
First-principles (meta-GGA SCAN) data for Ba2ReIr at its PBEsol-relaxed geometry, as listed in the Alexandria database. Values from VASP.

Summary:
As for the raw total energy: -2.01630 Ha/atom. Its energy relative to the lowest polymorph listed for this composition is 0.0 meV/atom. The value obtained for the formation energy is 44.18 kJ per mole of atoms. The space group is No. 6.

```
&SYSTEM
  ibrav = 0, nat = 4, ntyp = 3
/
ATOMIC_SPECIES
Ir 192.22 Ir.upf
Re 186.21 Re.upf
Ba 137.33 Ba.upf
CELL_PARAMETERS angstrom
3.032 0.000 0.254
0.000 3.853 0.000
0.676 0.000 9.528
ATOMIC_POSITIONS crystal
Ir 0.143 0.000 0.579
Re 0.588 0.500 0.667
Ba 0.982 0.000 0.924
Ba 0.787 0.500 0.330
```


[9]
First-principles (meta-GGA SCAN) data for MgScP at its PBEsol-relaxed geometry, as listed in the Alexandria database. Values from VASP.

Summary:
As for the raw total energy: -0.36991 Ha/atom. The value obtained for the formation energy is -18.90 kJ per mole of atoms. The space group is No. 216.

```
&SYSTEM
  ibrav = 0, nat = 3, ntyp = 3
/
ATOMIC_SPECIES
Sc 44.96 Sc.upf
P 30.97 P.upf
Mg 24.30 Mg.upf
CELL_PARAMETERS angstrom
-1.747 2.426 -3.286
-4.127 1.600 0.373
-0.650 4.359 0.561
ATOMIC_POSITIONS crystal
Sc 0.250 0.250 0.250
P 0.500 0.500 0.500
Mg 0.000 0.000 0.000
```


[10]
First-principles (meta-GGA SCAN) data for NaPtI2N at its PBEsol-relaxed geometry, as listed in the Alexandria database. Values from VASP.

Summary:
As for the raw total energy: -1.10743 Ha/atom. As for the uncorrected formation energy: 6.509 eV/f.u. The space group is No. 123.

```
&SYSTEM
  ibrav = 0, nat = 5, ntyp = 4
/
ATOMIC_SPECIES
I 126.90 I.upf
N 14.01 N.upf
Na 22.99 Na.upf
Pt 195.08 Pt.upf
CELL_PARAMETERS angstrom
4.145 0.000 0.000
0.000 5.490 0.000
0.000 0.000 5.490
ATOMIC_POSITIONS crystal
I 0.000 0.000 0.500
I 0.000 0.500 0.000
N 0.500 0.000 0.000
Na 0.000 0.000 0.000
Pt 0.500 0.500 0.500
```


[11]
First-principles (meta-GGA SCAN) data for HfSb3Se at its PBEsol-relaxed geometry, as listed in the Alexandria database. Values from VASP.

Summary:
As for the raw total energy: -1.41329 Ha/atom. As for the uncorrected formation energy: 2.246 eV/f.u. The space group is No. 221.

```
&SYSTEM
  ibrav = 0, nat = 5, ntyp = 3
/
ATOMIC_SPECIES
Sb 121.76 Sb.upf
Hf 178.49 Hf.upf
Se 78.96 Se.upf
CELL_PARAMETERS angstrom
5.381 0.000 0.000
0.000 5.381 0.000
0.000 0.000 5.381
ATOMIC_POSITIONS crystal
Sb 0.500 0.000 0.000
Sb 0.000 0.000 0.500
Sb 0.000 0.500 0.000
Hf 0.000 0.000 0.000
Se 0.500 0.500 0.500
```


[12]
First-principles (meta-GGA SCAN) data for CrRu3 at its PBEsol-relaxed geometry, as listed in the Alexandria database. Values from VASP.

Summary:
As for the raw total energy: -1.12464 Ha/atom. The value obtained for the formation energy is 10.88 kJ per mole of atoms. The space group is No. 221.

```
&SYSTEM
  ibrav = 0, nat = 4, ntyp = 2
/
ATOMIC_SPECIES
Cr 52.00 Cr.upf
Ru 101.07 Ru.upf
CELL_PARAMETERS angstrom
3.721 0.000 0.000
0.000 3.721 0.000
0.000 0.000 3.721
ATOMIC_POSITIONS crystal
Cr 0.000 0.000 0.000
Ru 0.000 0.500 0.500
Ru 0.500 0.000 0.500
Ru 0.500 0.500 0.000
```


Question: The lowest raw total energy belongs to which entry?
Answer: Ba2ReIr


Question: raw total energy of number 2 (Ca2SiGeBi)?
Answer: -0.92500 Ha/atom


Please write out number 1 again, unchanged.
First-principles (meta-GGA SCAN) data for SrSbRh at its PBEsol-relaxed geometry, as listed in the Alexandria database. Values from VASP.

Summary:
As for the raw total energy: -1.16380 Ha/atom. As for the uncorrected formation energy: -1.699 eV/f.u. The space group is No. 107.

```
&SYSTEM
  ibrav = 0, nat = 3, ntyp = 3
/
ATOMIC_SPECIES
Rh 102.91 Rh.upf
Sb 121.76 Sb.upf
Sr 87.62 Sr.upf
CELL_PARAMETERS angstrom
-1.165 0.338 3.318
-3.325 0.147 -1.183
1.843 -5.858 -0.637
ATOMIC_POSITIONS crystal
Rh 0.962 0.962 0.924
Sb 0.374 0.374 0.748
Sr 0.664 0.664 0.328
```